This record from Alexandria describes a relaxed LiBePCl2 crystal. The functional is PBE-GGA.

Unit cell a=4.9371 b=4.9371 c=4.2435 alpha=90.00 beta=90.00 gamma=90.00
Closest atoms and distances in Å follow each position.
Sites, in units of the cell vectors:
Li1 0.5000 0.5000 0.5000  8 Cl 3.26, 4 P 3.49
P1 0.0000 0.0000 0.5000  2 Be 2.12
Cl1 0.5000 0.0000 0.0000  2 Be 2.47
Cl2 0.0000 0.5000 0.0000  2 Be 2.47
Be1 0.0000 0.0000 0.0000  2 P 2.12

Summary:
Uncorrected energy (eV for the cell shown): -16.35
Polymorph energy (0 for the lowest one) (eV/f.u.): 0.00
Calculated volume (Å³/atom): 20.69
Uncorrected formation energy (kJ per mole of atoms): -30.93
Crystal system: tetragonal
Spin magnetization (Bohr magnetons per cell): 1.90